# PBE NaCuSnS3, relaxed
# V = 480.1 Å³ per cell
# electronic total energy = -4.02 eV/atom
data_NaCuSnS3
_space_group_name_H-M_alt 'C 1 2/m 1'
_space_group_IT_number 12
_cell_length_a 16.489
_cell_length_b 3.736
_cell_length_c 8.022
_cell_angle_alpha 90.00
_cell_angle_beta 103.73
_cell_angle_gamma 90.00
loop_
_space_group_symop_operation_xyz
'x,y,z'
'-x,-y,-z'
'-x,y,-z'
'x,-y,z'
'x+1/2,y+1/2,z'
'-x+1/2,-y+1/2,-z'
'-x+1/2,y+1/2,-z'
'x+1/2,-y+1/2,z'
loop_
_atom_site_label
_atom_site_type_symbol
_atom_site_fract_x
_atom_site_fract_y
_atom_site_fract_z
Na1 Na 0.129 0.000 0.061
Cu1 Cu 0.015 0.500 0.723
Sn1 Sn 0.170 0.000 0.586
S1 S 0.000 0.000 0.500
S2 S 0.000 0.500 0.000
S3 S 0.168 0.500 0.349
S4 S 0.169 0.500 0.805

---

# PBE NaCuSnS3, relaxed
# V = 252.5 Å³ per cell
# electronic total energy = -4.12 eV/atom
data_NaCuSnS3
_space_group_name_H-M_alt 'P 1 21/m 1'
_space_group_IT_number 11
_cell_length_a 7.566
_cell_length_b 3.806
_cell_length_c 9.061
_cell_angle_alpha 90.00
_cell_angle_beta 104.63
_cell_angle_gamma 90.00
loop_
_space_group_symop_operation_xyz
'x,y,z'
'-x,-y,-z'
'-x,y+1/2,-z'
'x,-y+1/2,z'
loop_
_atom_site_label
_atom_site_type_symbol
_atom_site_fract_x
_atom_site_fract_y
_atom_site_fract_z
Na1 Na 0.239 0.250 0.188
Cu1 Cu 0.442 0.250 0.915
Sn1 Sn 0.188 0.750 0.650
S1 S 0.067 0.750 0.356
S2 S 0.255 0.750 0.943
S3 S 0.421 0.250 0.656

---

# PBE NaCuSnTe2S, relaxed
# V = 611.4 Å³ per cell
# electronic total energy = -3.60 eV/atom
data_NaCuSnTe2S
_space_group_name_H-M_alt 'C m c m'
_space_group_IT_number 63
_space_group_name_Hall '-C 2c 2'
_cell_length_a 4.069
_cell_length_b 13.649
_cell_length_c 11.008
_cell_angle_alpha 90.00
_cell_angle_beta 90.00
_cell_angle_gamma 90.00
loop_
_atom_site_label
_atom_site_type_symbol
_atom_site_fract_x
_atom_site_fract_y
_atom_site_fract_z
Na1 Na 0.000 0.205 0.250
Cu1 Cu 0.000 0.039 0.750
Sn1 Sn 0.000 0.500 0.000
Te1 Te 0.000 0.156 0.549
S1 S 0.000 0.456 0.750

---

# PBE NaCuSnTeS2, relaxed
# V = 570.3 Å³ per cell
# electronic total energy = -3.82 eV/atom
data_NaCuSnTeS2
_space_group_name_H-M_alt 'C m c m'
_space_group_IT_number 63
_space_group_name_Hall '-C 2c 2'
_cell_length_a 3.716
_cell_length_b 14.162
_cell_length_c 10.837
_cell_angle_alpha 90.00
_cell_angle_beta 90.00
_cell_angle_gamma 90.00
loop_
_atom_site_label
_atom_site_type_symbol
_atom_site_fract_x
_atom_site_fract_y
_atom_site_fract_z
Na1 Na 0.000 0.217 0.250
Cu1 Cu 0.000 0.454 0.750
Sn1 Sn 0.000 0.000 0.000
Te1 Te 0.000 0.090 0.750
S1 S 0.000 0.377 0.568

---

# PBE NaTaCuS3, relaxed
# V = 224.4 Å³ per cell
# electronic total energy = -5.73 eV/atom
data_NaTaCuS3
_space_group_name_H-M_alt 'P 1 21/m 1'
_space_group_IT_number 11
_cell_length_a 7.393
_cell_length_b 3.518
_cell_length_c 9.167
_cell_angle_alpha 90.00
_cell_angle_beta 109.72
_cell_angle_gamma 90.00
loop_
_space_group_symop_operation_xyz
'x,y,z'
'-x,-y,-z'
'-x,y+1/2,-z'
'x,-y+1/2,z'
loop_
_atom_site_label
_atom_site_type_symbol
_atom_site_fract_x
_atom_site_fract_y
_atom_site_fract_z
Na1 Na 0.246 0.250 0.203
Ta1 Ta 0.179 0.750 0.657
Cu1 Cu 0.419 0.250 0.895
S1 S 0.074 0.750 0.366
S2 S 0.240 0.750 0.942
S3 S 0.416 0.250 0.649

---

# PBE Na3Ta2Cu3S8, relaxed
# V = 746.1 Å³ per cell
# electronic total energy = -5.36 eV/atom
data_Na3Ta2Cu3S8
_space_group_name_H-M_alt 'C 1 2 1'
_space_group_IT_number 5
_cell_length_a 20.045
_cell_length_b 5.538
_cell_length_c 6.751
_cell_angle_alpha 90.00
_cell_angle_beta 95.36
_cell_angle_gamma 90.00
loop_
_space_group_symop_operation_xyz
'x,y,z'
'-x,y,-z'
'x+1/2,y+1/2,z'
'-x+1/2,y+1/2,-z'
loop_
_atom_site_label
_atom_site_type_symbol
_atom_site_fract_x
_atom_site_fract_y
_atom_site_fract_z
Na1 Na 0.000 0.000 0.000
Na2 Na 0.204 0.433 0.201
Ta1 Ta 0.128 0.255 0.692
Cu1 Cu 0.000 0.253 0.500
Cu2 Cu 0.123 0.754 0.686
S1 S 0.039 0.489 0.775
S2 S 0.090 0.016 0.424
S3 S 0.162 0.004 0.955
S4 S 0.212 0.509 0.616

---

- V of number 1 (NaCuSnS3)?
  480.1 Å³ per cell

---

Copy entry 1 word for word.
# PBE NaCuSnS3, relaxed
# V = 480.1 Å³ per cell
# electronic total energy = -4.02 eV/atom
data_NaCuSnS3
_space_group_name_H-M_alt 'C 1 2/m 1'
_space_group_IT_number 12
_cell_length_a 16.489
_cell_length_b 3.736
_cell_length_c 8.022
_cell_angle_alpha 90.00
_cell_angle_beta 103.73
_cell_angle_gamma 90.00
loop_
_space_group_symop_operation_xyz
'x,y,z'
'-x,-y,-z'
'-x,y,-z'
'x,-y,z'
'x+1/2,y+1/2,z'
'-x+1/2,-y+1/2,-z'
'-x+1/2,y+1/2,-z'
'x+1/2,-y+1/2,z'
loop_
_atom_site_label
_atom_site_type_symbol
_atom_site_fract_x
_atom_site_fract_y
_atom_site_fract_z
Na1 Na 0.129 0.000 0.061
Cu1 Cu 0.015 0.500 0.723
Sn1 Sn 0.170 0.000 0.586
S1 S 0.000 0.000 0.500
S2 S 0.000 0.500 0.000
S3 S 0.168 0.500 0.349
S4 S 0.169 0.500 0.805

---

- Number 2 is which compound?
  NaCuSnS3